<A>
SrPrPt | Alexandria via LeMat-Bulk | PBE | optimized geometry; SG = F-43m
1.0
-2.2313 -1.5171 -4.3548
-4.6214 -2.2072 0.1236
-4.0877 2.5131 -1.7943
Pr Sr Pt
1 1 1
Direct
0.5000 0.5000 0.5000
0.0000 0.0000 0.0000
0.2500 0.2500 0.2500

=====

<B>
SrPrPt | Alexandria via LeMat-Bulk | PBE | optimized geometry; SG = Amm2
1.0
-3.1871 -0.2662 7.2897
-0.9326 -8.5250 3.6274
5.8719 -2.3698 6.8271
Sr Pr Pt
6 6 6
Direct
0.1662 0.0433 0.5433
0.7529 0.9567 0.4567
0.3401 0.7500 0.2500
0.3402 0.2500 0.7500
0.7533 0.4565 0.9565
0.1663 0.5435 0.0435
0.0070 0.0000 0.0000
0.0070 0.5000 0.5000
0.7538 0.3729 0.3726
0.4993 0.6271 0.6274
0.4993 0.1274 0.1271
0.7538 0.8726 0.8729
0.7529 0.2499 0.7499
0.7528 0.7501 0.2501
0.0873 0.1664 0.1664
0.4201 0.8336 0.8336
0.4201 0.3336 0.3336
0.0873 0.6664 0.6664

=====

The computed energies, referenced to the most stable structure and given in eV/atom, are <A> 0.063; <B> 0.000.

=====

<A>
Tb3Pr2Pt4 | Alexandria via LeMat-Bulk | PBE | optimized geometry; SG = Cmce
1.0
7.4059 0.0000 0.0000
0.0000 7.8242 0.0000
-3.7029 0.0000 7.9252
Tb Pr Pt
6 4 8
Direct
0.0000 0.0000 0.0000
0.5000 0.5000 0.0000
0.5389 0.7500 0.5777
0.9611 0.2500 0.4223
0.4611 0.2500 0.4223
0.0389 0.7500 0.5777
0.1003 0.5979 0.2007
0.8997 0.4021 0.7993
0.3997 0.0979 0.7993
0.6003 0.9021 0.2007
0.7163 0.7500 0.9325
0.7837 0.2500 0.0675
0.2837 0.2500 0.0675
0.2163 0.7500 0.9325
0.1945 0.9510 0.3889
0.8055 0.0490 0.6111
0.3055 0.4510 0.6111
0.6945 0.5490 0.3889

=====

<B>
Tb3Pr2Pt4 | Alexandria via LeMat-Bulk | PBE | optimized geometry; SG = P2_1/c
1.0
-2.4251 7.5784 -0.1905
-5.7633 -4.4143 2.4195
2.3387 0.9311 7.2697
Tb Pr Pt
6 4 8
Direct
0.0000 0.5000 0.5000
0.5000 0.5000 0.0000
0.7493 0.2443 0.8363
0.7507 0.7557 0.3363
0.2507 0.7557 0.1637
0.2493 0.2443 0.6637
0.5864 0.1984 0.3235
0.9136 0.8016 0.8235
0.4136 0.8016 0.6765
0.0864 0.1984 0.1765
0.8672 0.0929 0.5377
0.6328 0.9071 0.0377
0.1328 0.9071 0.4623
0.3672 0.0929 0.9623
0.8733 0.4988 0.1336
0.6267 0.5012 0.6336
0.1267 0.5012 0.8664
0.3733 0.4988 0.3664

=====

The computed energies, referenced to the most stable structure and given in eV/atom, are <A> 0.139; <B> 0.000.

=====

<A>
Tb3PrPt | Alexandria via LeMat-Bulk | PBE | optimized geometry; SG = Pm-3m
1.0
5.5229 0.0000 0.0000
0.0000 5.5229 0.0000
0.0000 0.0000 5.5229
Pr Tb Pt
1 3 1
Direct
0.5000 0.5000 0.5000
0.0000 0.5000 0.0000
0.0000 0.0000 0.5000
0.5000 0.0000 0.0000
0.0000 0.0000 0.0000

=====

<B>
Tb3PrPt | Alexandria via LeMat-Bulk | PBE | optimized geometry; SG = Pmn2_1
1.0
6.1628 -0.0002 -0.0001
0.0002 6.7813 -0.0020
0.0001 0.0000 7.7167
Tb Pr Pt
6 2 2
Direct
0.4157 0.3275 0.2009
0.4269 0.8695 0.9569
0.9268 0.4833 0.4570
0.9156 0.0253 0.7007
0.9270 0.4833 0.9446
0.4268 0.8695 0.4445
0.4301 0.3165 0.7009
0.9302 0.0363 0.2007
0.1786 0.6875 0.7007
0.6786 0.6653 0.2007

=====

The computed energies, referenced to the most stable structure and given in eV/atom, are <A> 0.044; <B> 0.000.

=====

<A>
TbPr2Pt | Alexandria via LeMat-Bulk | PBE | optimized geometry; SG = Pnma
1.0
6.6230 0.0000 0.0000
0.0000 7.2113 0.0000
0.0000 0.0000 10.1402
Tb Pr Pt
4 8 4
Direct
0.6476 0.5319 0.2500
0.8524 0.0319 0.2500
0.3524 0.4681 0.7500
0.1476 0.9681 0.7500
0.1750 0.6813 0.0619
0.3250 0.1813 0.4381
0.8250 0.3187 0.5619
0.6750 0.8187 0.9381
0.8250 0.3187 0.9381
0.6750 0.8187 0.5619
0.1750 0.6813 0.4381
0.3250 0.1813 0.0619
0.0495 0.3825 0.2500
0.4505 0.8825 0.2500
0.9505 0.6175 0.7500
0.5495 0.1175 0.7500

=====

<B>
TbPr2Pt | Alexandria via LeMat-Bulk | PBE | optimized geometry; SG = P4/mmm
1.0
3.7223 0.0000 0.0000
0.0000 3.7223 0.0000
0.0000 0.0000 8.4908
Pr Tb Pt
2 1 1
Direct
0.0000 0.0000 0.7993
0.0000 0.0000 0.2007
0.5000 0.5000 0.5000
0.5000 0.5000 0.0000

=====

<C>
TbPr2Pt | Alexandria via LeMat-Bulk | PBE | optimized geometry; SG = Pnna
1.0
6.6542 0.0002 0.0000
0.0002 6.8139 -0.0029
0.0000 0.0057 11.5759
Tb Pr Pt
4 8 4
Direct
0.2500 0.5557 0.2500
0.7500 0.4443 0.7500
0.7500 0.9443 0.2500
0.2500 0.0557 0.7500
0.7668 0.9154 0.9143
0.2332 0.0846 0.0857
0.2668 0.5846 0.5857
0.7332 0.4154 0.4143
0.7667 0.4153 0.0856
0.2333 0.5847 0.9144
0.2668 0.0846 0.4143
0.7332 0.9154 0.5857
0.0000 0.2500 0.5946
0.0000 0.7500 0.4054
0.5000 0.2500 0.9053
0.5000 0.7500 0.0947

=====

The computed energies, referenced to the most stable structure and given in eV/atom, are <A> 0.000; <B> 0.179; <C> 0.138.